Entry 1:
TePt2Br: optimized geometry, PBE.

```
data_TePt2Br
_chemical_formula_sum 'Te2 Pt4 Br2'
_cell_length_a 6.1773
_cell_length_b 7.3246
_cell_length_c 3.4886
_cell_angle_alpha 90.00
_cell_angle_beta 90.00
_cell_angle_gamma 90.00
_space_group_name_H-M_alt 'C m m m'
_space_group_IT_number 65
_space_group_name_Hall '-C 2 2'
loop_
_atom_site_label
_atom_site_type_symbol
_atom_site_fract_x
_atom_site_fract_y
_atom_site_fract_z
_atom_site_occupancy
Te1 Te 0.0000 0.0000 0.0000 1
Pt1 Pt 0.2500 0.2500 0.5000 1
Br1 Br 0.0000 0.5000 0.0000 1
```

Properties
The value obtained for the energy above the lowest structure with this stoichiometry is 718 meV per atom.

***

Entry 2:
Ac7TcCl12: optimized geometry, PBE.

```
data_Ac7TcCl12
_chemical_formula_sum 'Ac21 Tc3 Cl36'
_cell_length_a 15.7262
_cell_length_b 15.7262
_cell_length_c 11.3223
_cell_angle_alpha 90.00
_cell_angle_beta 90.00
_cell_angle_gamma 120.00
_space_group_name_H-M_alt 'R -3'
_space_group_IT_number 148
_space_group_name_Hall '-R 3'
loop_
_atom_site_label
_atom_site_type_symbol
_atom_site_fract_x
_atom_site_fract_y
_atom_site_fract_z
_atom_site_occupancy
Ac1 Ac 0.0000 0.0000 0.0000 1
Ac2 Ac 0.0256 0.8601 0.3553 1
Tc1 Tc 0.0000 0.0000 0.5000 1
Cl1 Cl 0.0228 0.4625 0.1566 1
Cl2 Cl 0.0287 0.8765 0.8332 1
```

***

Entry 3:
Zr2BiPb2: optimized geometry, PBE.

```
data_Zr2BiPb2
_chemical_formula_sum 'Zr4 Bi2 Pb4'
_cell_length_a 9.0204
_cell_length_b 9.0204
_cell_length_c 3.3097
_cell_angle_alpha 90.00
_cell_angle_beta 90.00
_cell_angle_gamma 90.00
_space_group_name_H-M_alt 'P 4/m b m'
_space_group_IT_number 127
_space_group_name_Hall '-P 4 2ab'
loop_
_atom_site_label
_atom_site_type_symbol
_atom_site_fract_x
_atom_site_fract_y
_atom_site_fract_z
_atom_site_occupancy
Zr1 Zr 0.1245 0.3755 0.0000 1
Bi1 Bi 0.0000 0.0000 0.5000 1
Pb1 Pb 0.1693 0.6693 0.5000 1
```

Properties
The value obtained for the energy above the lowest structure with this stoichiometry is 171 meV per atom. The calculation puts the energy relative to the elements at 51 meV/atom.

***

| no. | uncorrected energy (eV/atom) |
| --- | --- |
| 1 | -3.722 |
| 2 | -4.946 |
| 3 | -5.627 |